Record 1
VASP calculation (meta-GGA SCAN) on a crystal of Mn2CrNi relaxed with PBEsol.

## Properties
Space group: Fm-3m, No. 225
E, eV/cell: -71.99
N(E_F), states/eV/cell: 2.7
Formation enthalpy at 0 K, meV/atom: -230
Calculated density, g/cm³: 8.2

Cell and atoms, written as POSCAR:
```
Mn2CrNi
1.0
3.9880 0.0000 0.0000
1.9940 3.4537 0.0000
1.9940 1.1512 3.2562
Ni Mn Cr
1 2 1
Cartesian
3.9880 2.3025 1.6281 Ni
1.9940 1.1512 0.8140 Mn
5.9819 3.4537 2.4421 Mn
0.0000 0.0000 0.0000 Cr
```

Record 2
VASP calculation (meta-GGA SCAN) on a crystal of ZnTe2NF relaxed with PBEsol.

## Properties
Space group: P4/mmm, No. 123
E, eV/cell: -97.54
N(E_F), states/eV/cell: 3.8
Formation energy without anion corrections, eV per atom: 0.662
Calculated density, g/cm³: 6.0

Cell and atoms, written as POSCAR:
```
ZnTe2NF
1.0
3.5405 0.0000 0.0000
0.0000 5.2752 0.0000
0.0000 0.0000 5.2752
N Zn Te F
1 1 2 1
Cartesian
1.7703 0.0000 0.0000 N
0.0000 0.0000 0.0000 Zn
0.0000 0.0000 2.6376 Te
0.0000 2.6376 0.0000 Te
1.7703 2.6376 2.6376 F
```

What is the formula in the first record? Mn2CrNi

Among the records above, which one has the lowest E? ZnTe2NF

Among the records above, which one has the highest calculated density? Mn2CrNi

Which value of E does entry 2 give? -97.54 eV/cell